Entry 1:
A plane-wave DFT calculation with PBE was carried out for Ho2Ga5Ni2Ru after structural relaxation.

a = 4.039 Å, b = 9.041 Å, c = 9.041 Å
α = 90.00°, β = 90.00°, γ = 90.00°
Fractional coordinates of all 20 atoms:
Ho 0.000 0.684 0.184
Ho 0.000 0.316 0.816
Ho 0.000 0.184 0.316
Ho 0.000 0.816 0.684
Ga 0.500 0.203 0.055
Ga 0.500 0.797 0.945
Ga 0.500 0.055 0.797
Ga 0.500 0.703 0.445
Ga 0.500 0.945 0.203
Ga 0.500 0.297 0.555
Ga 0.500 0.555 0.703
Ga 0.500 0.445 0.297
Ga 0.500 0.500 0.000
Ga 0.500 0.000 0.500
Ni 0.000 0.111 0.611
Ni 0.000 0.889 0.389
Ni 0.000 0.611 0.889
Ni 0.000 0.389 0.111
Ru 0.000 0.000 0.000
Ru 0.000 0.500 0.500

Computed properties:
symmetry: No. 127
volume: 16.51 Å³ per atom
energy relative to the elements: -44.15 kJ/mol of atoms
calculated total energy: -49.70 eV/f.u.

Entry 2:
A plane-wave DFT calculation with PBE was carried out for Ti2CrSn2 after structural relaxation.

a = 6.940 Å, b = 6.940 Å, c = 3.850 Å
α = 90.00°, β = 90.00°, γ = 90.00°
Fractional coordinates of all 10 atoms:
Cr 0.000 0.000 0.000
Cr 0.500 0.500 0.000
Sn 0.355 0.855 0.000
Sn 0.855 0.645 0.000
Sn 0.645 0.145 0.000
Sn 0.145 0.355 0.000
Ti 0.161 0.661 0.500
Ti 0.661 0.839 0.500
Ti 0.839 0.339 0.500
Ti 0.339 0.161 0.500

Computed properties:
symmetry: No. 127
volume: 18.54 Å³ per atom
energy relative to the elements: 6.10 kJ/mol of atoms
calculated total energy: -33.10 eV/f.u.

Entry 3:
A plane-wave DFT calculation with PBE was carried out for MgVAuC after structural relaxation.

a = 2.953 Å, b = 3.144 Å, c = 12.191 Å
α = 90.00°, β = 90.00°, γ = 90.00°
Fractional coordinates of all 8 atoms:
Mg 0.000 0.000 0.548
Mg 0.000 0.500 0.048
Au 0.500 0.000 0.886
Au 0.500 0.500 0.386
C 0.500 0.000 0.139
C 0.500 0.500 0.639
V 0.000 0.000 0.238
V 0.000 0.500 0.738

Computed properties:
symmetry: No. 38
volume: 14.15 Å³ per atom
energy relative to the elements: 9.62 kJ/mol of atoms
ΔE to the lowest computed polymorph: 242 meV/atom
calculated total energy: -22.82 eV/f.u.

Entry 4:
A plane-wave DFT calculation with PBE was carried out for Ti4FeRh3 after structural relaxation.

a = 2.970 Å, b = 2.970 Å, c = 13.131 Å
α = 90.00°, β = 90.00°, γ = 90.00°
Fractional coordinates of all 8 atoms:
Rh 0.500 0.500 0.238
Rh 0.500 0.500 0.500
Rh 0.500 0.500 0.762
Fe 0.500 0.500 0.000
Ti 0.000 0.000 0.888
Ti 0.000 0.000 0.112
Ti 0.000 0.000 0.369
Ti 0.000 0.000 0.631

Computed properties:
symmetry: No. 123
volume: 14.48 Å³ per atom
energy relative to the elements: -63.74 kJ/mol of atoms
calculated total energy: -67.38 eV/f.u.